## TiCoBi3 (PBE)

Data for crystalline TiCoBi3 at its relaxed geometry.

a b c (Å): 5.0895 5.0895 5.0895
angles (deg): 90.00 90.00 90.00
Space group Pm-3m (No. 221)
Symmetry-distinct sites (fractional):
Ti  0.0000  0.0000  0.0000 [1 per cell]
Co  0.5000  0.5000  0.5000 [1 per cell]
Bi  0.0000  0.5000  0.5000 [3 per cell]

## Ac8Co3AsI4 (PBE)

Data for crystalline Ac8Co3AsI4 at its relaxed geometry.

a b c (Å): 8.7911 8.7911 25.5844
angles (deg): 90.00 90.00 120.00
Space group R-3m (No. 166, hexagonal axes)
Symmetry-distinct sites (fractional):
Ac  0.0000  0.0000  0.2277 [6 per cell]
Ac  0.0184  0.5092  0.7720 [18 per cell]
Co  0.0000  0.5000  0.5000 [9 per cell]
As  0.0000  0.0000  0.5000 [3 per cell]
I  0.0000  0.0000  0.0000 [3 per cell]
I  0.0000  0.5000  0.0000 [9 per cell]

## RbH8Ru2 (PBE)

Data for crystalline RbH8Ru2 at its relaxed geometry.

a b c (Å): 4.9035 8.4905 5.6131
angles (deg): 90.00 90.06 90.00
Space group Cm (No. 8)
Symmetry-distinct sites (fractional):
Rb  0.0000  0.0000  0.0000 [2 per cell]
H  0.0011  0.3328  0.7936 [4 per cell]
H  0.1439  0.5000  0.3646 [2 per cell]
H  0.1771  0.1772  0.3658 [4 per cell]
H  0.3177  0.0000  0.6098 [2 per cell]
H  0.3423  0.3422  0.6074 [4 per cell]
Ru  0.0001  0.3333  0.5119 [4 per cell]

## CoOs (PBE)

Data for crystalline CoOs at its relaxed geometry.

a b c (Å): 2.6097 9.5184 3.9716
angles (deg): 90.00 90.00 90.00
Space group Cmcm (No. 63)
Symmetry-distinct sites (fractional):
Co  0.0000  0.0655  0.2500 [4 per cell]
Os  0.0000  0.3294  0.2500 [4 per cell]

## Sc2SeBr (PBE)

Data for crystalline Sc2SeBr at its relaxed geometry.

a b c (Å): 3.6991 5.2614 4.9519
angles (deg): 90.00 107.69 90.00
Space group Pm (No. 6)
Symmetry-distinct sites (fractional):
Sc  0.0000  0.0000  0.0000 [1 per cell]
Sc  0.4799  0.5000  0.4600 [1 per cell]
Se  0.1282  0.5000  0.8961 [1 per cell]
Br  0.3426  0.0000  0.5632 [1 per cell]

## VHgN (PBE)

Data for crystalline VHgN at its relaxed geometry.

a b c (Å): 2.9799 2.9799 6.3125
angles (deg): 90.00 90.00 120.00
Space group P3m1 (No. 156)
Symmetry-distinct sites (fractional):
V  0.0000  0.0000  0.0000 [1 per cell]
Hg  0.6667  0.3333  0.3938 [1 per cell]
N  0.6667  0.3333  0.8799 [1 per cell]

## HfU2MoC4 (PBE)

Data for crystalline HfU2MoC4 at its relaxed geometry.

a b c (Å): 5.6698 3.3037 5.8735
angles (deg): 90.00 108.85 90.00
Space group P2/m (No. 10)
Symmetry-distinct sites (fractional):
Hf  0.0000  0.0000  0.0000 [1 per cell]
U  0.0000  0.5000  0.5000 [1 per cell]
U  0.5000  0.0000  0.5000 [1 per cell]
Mo  0.5000  0.5000  0.0000 [1 per cell]
C  0.2512  0.5000  0.2328 [2 per cell]
C  0.2634  0.0000  0.7705 [2 per cell]

## TbHo2CdHg4 (PBE)

Data for crystalline TbHo2CdHg4 at its relaxed geometry.

a b c (Å): 5.1418 5.1418 25.9303
angles (deg): 90.00 90.00 120.00
Space group R-3m (No. 166, hexagonal axes)
Symmetry-distinct sites (fractional):
Tb  0.0000  0.0000  0.0000 [3 per cell]
Ho  0.0000  0.0000  0.2427 [6 per cell]
Cd  0.0000  0.0000  0.5000 [3 per cell]
Hg  0.0000  0.0000  0.1225 [6 per cell]
Hg  0.0000  0.0000  0.3696 [6 per cell]

## LiCeGdRh (PBE)

Data for crystalline LiCeGdRh at its relaxed geometry.

a b c (Å): 7.0734 7.0734 7.0734
angles (deg): 90.00 90.00 90.00
Space group F-43m (No. 216)
Symmetry-distinct sites (fractional):
Li  0.0000  0.0000  0.0000 [4 per cell]
Ce  0.2500  0.2500  0.2500 [4 per cell]
Gd  0.2500  0.2500  0.7500 [4 per cell]
Rh  0.0000  0.0000  0.5000 [4 per cell]

## Nd2Ga2I (PBE)

Data for crystalline Nd2Ga2I at its relaxed geometry.

a b c (Å): 4.2595 4.2595 25.8912
angles (deg): 90.00 90.00 120.00
Space group R-3m (No. 166, hexagonal axes)
Symmetry-distinct sites (fractional):
Nd  0.0000  0.0000  0.0782 [6 per cell]
Ga  0.0000  0.0000  0.3263 [6 per cell]
I  0.0000  0.0000  0.5000 [3 per cell]

## La2ZrAs (PBE)

Data for crystalline La2ZrAs at its relaxed geometry.

a b c (Å): 3.7568 5.4276 11.0753
angles (deg): 90.00 90.00 90.00
Space group Imm2 (No. 44)
Symmetry-distinct sites (fractional):
La  0.0000  0.0000  0.0000 [2 per cell]
La  0.0000  0.5000  0.1912 [2 per cell]
Zr  0.0000  0.5000  0.7945 [2 per cell]
As  0.0000  0.0000  0.4702 [2 per cell]

## Pu2ScSi2Ru5 (PBE)

Data for crystalline Pu2ScSi2Ru5 at its relaxed geometry.

a b c (Å): 10.0913 10.0913 3.2792
angles (deg): 90.00 90.00 90.00
Space group P4/mbm (No. 127)
Symmetry-distinct sites (fractional):
Pu  0.1741  0.3259  0.0000 [4 per cell]
Sc  0.0000  0.0000  0.0000 [2 per cell]
Si  0.1257  0.6257  0.0000 [4 per cell]
Ru  0.0000  0.5000  0.5000 [2 per cell]
Ru  0.0682  0.7869  0.5000 [8 per cell]

The records above give, respectively, total DFT energy (no corrections) values of -4.67 -4.82 -4.16 -9.04 -5.47 -6.10 -10.40 -2.41 -7.64 -4.29 -6.24 -9.70 eV per atom.
The records above give, respectively, theoretical density values of 9.24 7.49 4.20 16.78 4.50 9.08 12.74 11.78 7.64 6.79 6.53 10.88 Mg/m³.